A plane-wave DFT calculation with PBEsol was carried out for crystalline CrIn3Hg at its relaxed geometry.

Structure (extended XYZ):
```
5
Lattice="5.134 0.000 0.000 0.000 5.134 0.000 0.000 0.000 5.134" Properties=species:S:1:pos:R:3 pbc="T T T"
Cr 0.000 0.000 0.000
In 0.000 0.000 2.567
In 2.567 0.000 0.000
In 0.000 2.567 0.000
Hg 2.567 2.567 2.567
```

Calculated values
Calculated density, Mg/m³: 7.3
Crystal system: cubic
Calculated volume, Å³/f.u.: 135.3
E_form, meV per atom: 449
Symmetry: No. 221

A plane-wave DFT calculation with PBEsol was carried out for crystalline CrIn2Hg at its relaxed geometry.

Structure (extended XYZ):
```
4
Lattice="4.287 0.000 0.000 0.000 4.287 0.000 -2.144 -2.144 4.421" Properties=species:S:1:pos:R:3 pbc="T T T"
In 0.000 2.144 2.211
In 2.144 0.000 2.211
Hg 0.000 0.000 0.000
Cr 2.144 2.144 0.000
```

Calculated values
Calculated density, Mg/m³: 9.9
Crystal system: tetragonal
Calculated volume, Å³/f.u.: 81.3
E_form, meV per atom: 314
Symmetry: No. 139

A plane-wave DFT calculation with PBEsol was carried out for crystalline CrInHg2 at its relaxed geometry.

Structure (extended XYZ):
```
4
Lattice="-0.432 -0.746 -3.153 0.672 -3.013 -1.074 -8.486 -3.795 0.365" Properties=species:S:1:pos:R:3 pbc="T T T"
Cr 0.000 0.000 0.000
Hg -6.379 -5.723 -2.856
Hg -1.867 -1.831 -1.006
In -4.123 -3.777 -1.931
```

Calculated values
Calculated density, Mg/m³: 11.2
Crystal system: trigonal
Calculated volume, Å³/f.u.: 84.3
E_form, meV per atom: 323
Symmetry: No. 166

Please write out number 2 again, unchanged.
A plane-wave DFT calculation with PBEsol was carried out for crystalline CrIn2Hg at its relaxed geometry.

Structure (extended XYZ):
```
4
Lattice="4.287 0.000 0.000 0.000 4.287 0.000 -2.144 -2.144 4.421" Properties=species:S:1:pos:R:3 pbc="T T T"
In 0.000 2.144 2.211
In 2.144 0.000 2.211
Hg 0.000 0.000 0.000
Cr 2.144 2.144 0.000
```

Calculated values
Calculated density, Mg/m³: 9.9
Crystal system: tetragonal
Calculated volume, Å³/f.u.: 81.3
E_form, meV per atom: 314
Symmetry: No. 139

Question: What is the calculated volume in the second record?
Answer: 81.3 Å³/f.u.

Question: The highest E_form belongs to which entry?
Answer: CrIn3Hg